(1)
DFT (GGA-PBE) results for crystalline Sm7Dy12Mg at its relaxed geometry.

```
Sm7Dy12Mg
1.0
5.9741 3.4491 5.3346
-5.9741 3.4491 5.3346
0.0000 -6.8983 5.3346
Sm Dy Mg
7 12 1
Direct
0.0000 0.0000 0.0000
0.1031 0.3495 0.4222
0.3495 0.4222 0.1031
0.4222 0.1031 0.3495
0.5778 0.8969 0.6505
0.6505 0.5778 0.8969
0.8969 0.6505 0.5778
0.0004 0.3625 0.8851
0.9996 0.6375 0.1149
0.1149 0.9996 0.6375
0.2381 0.7493 0.3580
0.2507 0.6420 0.7619
0.3580 0.2381 0.7493
0.3625 0.8851 0.0004
0.6375 0.1149 0.9996
0.6420 0.7619 0.2507
0.7493 0.3580 0.2381
0.7619 0.2507 0.6420
0.8851 0.0004 0.3625
0.5000 0.5000 0.5000
```

Computed properties:
energy relative to the elements = 207 meV per atom
SG = R-3 (148)
final energy = -85.7 eV for the cell shown

***

(2)
DFT (GGA-PBE) results for crystalline TbEr5Pb4 at its relaxed geometry.

```
TbEr5Pb4
1.0
8.7732 -1.8227 0.0000
8.7732 1.8227 0.0000
-0.4821 0.0000 9.7189
Tb Er Pb
1 5 4
Direct
0.0000 0.0000 0.0000
0.0000 0.0000 0.5000
0.3081 0.3081 0.6121
0.3447 0.3447 0.2467
0.6553 0.6553 0.7533
0.6919 0.6919 0.3879
0.1825 0.1825 0.0659
0.4749 0.4749 0.7462
0.5251 0.5251 0.2538
0.8175 0.8175 0.9341
```

Computed properties:
energy relative to the elements = -185 meV per atom
SG = C2/m (12)
final energy = -44.1 eV for the cell shown